1.
Entry from the Alexandria database: a relaxed SrMg2GeN4 crystal (PBE-GGA).

```
SrMg2GeN4
1.0
-5.609 -0.509 -1.344
1.506 -1.654 -5.661
0.123 -6.280 1.867
N Ge Sr Mg
8 2 2 4
Direct
0.339 0.625 0.369
0.839 0.375 0.131
0.839 0.375 0.869
0.457 0.127 0.500
0.339 0.625 0.631
0.957 0.873 0.000
0.839 0.779 0.500
0.339 0.221 0.000
0.534 0.837 0.500
0.034 0.163 0.000
0.494 0.835 0.000
0.994 0.165 0.500
0.999 0.666 0.754
0.499 0.334 0.254
0.499 0.334 0.746
0.999 0.666 0.246
```

## Properties
As for the formation energy from raw total energies: -339 meV per atom. The total moment is 0.0 μB per formula unit.

=====

2.
Entry from the Alexandria database: a relaxed LaRu3 crystal (PBE-GGA).

```
LaRu3
1.0
2.946 0.000 -0.001
0.000 4.530 0.000
1.181 0.000 5.423
Ru La
3 1
Direct
0.500 0.000 0.500
0.683 0.500 0.699
0.317 0.500 0.301
0.000 0.000 0.000
```

## Properties
The formation energy is 153 kJ/mol of formula units. The total moment is 0.1 μB per formula unit.

=====

3.
Entry from the Alexandria database: a relaxed BaSr2Mg crystal (PBE-GGA).

```
BaSr2Mg
1.0
-0.299 -4.074 -2.671
5.629 -1.699 1.960
3.040 -4.681 6.799
Sr Mg Ba
2 1 1
Direct
0.500 0.500 0.000
0.000 0.000 0.000
0.000 0.000 0.500
0.500 0.500 0.500
```

## Properties
The formation energy is 18 kJ/mol of formula units. The total moment is 0.0 μB per formula unit.

=====

4.
Entry from the Alexandria database: a relaxed Pa2VAs crystal (PBE-GGA).

```
Pa2VAs
1.0
-0.208 3.691 0.051
-3.044 -0.142 -2.094
-3.468 -0.266 5.060
Pa As V
2 1 1
Direct
0.000 0.000 0.260
0.000 0.000 0.740
0.500 0.500 0.500
0.500 0.500 0.000
```

## Properties
The formation energy is -75 kJ/mol of formula units. The total moment is 0.5 μB per formula unit.

=====

5.
Entry from the Alexandria database: a relaxed BeGa2CoTe crystal (PBE-GGA).

```
BeGa2CoTe
1.0
-4.969 2.390 -0.624
-1.787 -4.059 -1.314
-1.226 -1.170 5.284
Ga Be Te Co
2 1 1 1
Direct
0.500 0.000 0.000
0.000 0.000 0.500
0.500 0.500 0.500
0.000 0.000 0.000
0.000 0.500 0.000
```

## Properties
As for the formation energy from raw total energies: 1259 meV per atom. The total moment is 1.0 μB per formula unit.

=====

6.
Entry from the Alexandria database: a relaxed Dy6In2H crystal (PBE-GGA).

```
Dy6In2H
1.0
-0.747 3.933 4.898
-7.921 1.138 -2.121
-2.479 -7.366 5.307
Dy In H
12 4 2
Direct
0.346 0.839 0.453
0.105 0.031 0.763
0.154 0.339 0.047
0.654 0.161 0.547
0.895 0.969 0.237
0.358 0.803 0.052
0.858 0.697 0.552
0.605 0.469 0.263
0.642 0.197 0.948
0.395 0.531 0.737
0.142 0.303 0.448
0.846 0.661 0.953
0.570 0.886 0.761
0.070 0.614 0.261
0.430 0.114 0.239
0.930 0.386 0.739
0.000 0.000 0.500
0.500 0.500 0.000
```

## Properties
The total moment is 0.0 μB per formula unit.

=====

7.
Entry from the Alexandria database: a relaxed Li3GeSb crystal (PBE-GGA).

```
Li3GeSb
1.0
5.046 0.000 0.000
0.000 5.046 0.000
0.000 0.000 5.046
Sb Ge Li
1 1 3
Direct
0.000 0.000 0.000
0.500 0.500 0.500
0.000 0.000 0.500
0.500 0.000 0.000
0.000 0.500 0.000
```

## Properties
As for the formation energy from raw total energies: 147 meV per atom. The total moment is 0.0 μB per formula unit.

=====

8.
Entry from the Alexandria database: a relaxed Ce4Hg2S crystal (PBE-GGA).

```
Ce4Hg2S
1.0
5.324 0.000 0.000
0.000 5.324 0.000
-2.662 -2.662 7.617
Hg Ce S
2 4 1
Direct
0.620 0.620 0.239
0.380 0.380 0.761
0.500 0.000 0.000
0.181 0.181 0.362
0.819 0.819 0.638
0.000 0.500 0.000
0.000 0.000 0.000
```

## Properties
As for the formation energy from raw total energies: -543 meV per atom. The total moment is 3.6 μB per formula unit.

=====

no.,total DFT energy (no corrections) (eV/cell)
1,-91.00
2,-31.17
3,-6.70
4,-33.54
5,-13.73
6,-76.42
7,-13.74
8,-32.27